## AcDyHoMg (PBE-GGA)

Data for a geometry-optimized AcDyHoMg structure.

a = 5.686 Å, b = 5.686 Å, c = 5.686 Å
α = 60.00°, β = 60.00°, γ = 60.00°
Fractional positions:
1 Ac 0.000 0.000 0.000
2 Ho 0.250 0.250 0.250
3 Mg 0.500 0.500 0.500
4 Dy 0.750 0.750 0.750

Properties
Calculated formation energy   59 kJ/mol of formula units
V   32.50 Å³ per atom
Spin magnetization   0.01 μB per formula unit